Compound: RbCrF2
Source: the Alexandria database
Functional: GGA+U
Structure: optimized geometry

The space group is Fm-3m (No. 225) and the conventional cell measures 6.473, 6.473 and 6.473 Å, with angles of 90.00, 90.00 and 90.00 degrees. The distinct sites, in fractional coordinates, are Rb at (0.000, 0.000, 0.000), Cr at (0.000, 0.000, 0.500) and F at (0.250, 0.250, 0.250).

The crystal system is cubic. As for the density of states at the Fermi level: 0.00 states/eV/cell. The size of the total moment comes out at 20.0 Bohr magnetons per cell. The calculation puts the offset from the most stable computed form at 365 meV/atom. Its total energy is -75.9 eV per cell.